#one
A geometry-optimized MgBeSe2 structure. Source: Alexandria via LeMat-Bulk, functional PBE.

Results
Size of the total moment: 0.000 μB per cell
V: 25.50 A^3/atom

a = 7.164 Å, b = 7.164 Å, c = 7.164 Å
α = 33.91°, β = 33.91°, γ = 33.91°
Fractional coordinates of all 4 atoms:
Be1 0.000 0.000 0.000
Mg1 0.500 0.500 0.500
Se1 0.901 0.901 0.901
Se2 0.099 0.099 0.099

***

#two
A geometry-optimized MgBeSe2 structure. Source: Alexandria via LeMat-Bulk, functional PBE.

Results
Size of the total moment: 0.000 μB per cell
V: 18.08 A^3/atom

a = 4.676 Å, b = 4.676 Å, c = 4.676 Å
α = 60.00°, β = 60.00°, γ = 60.00°
Fractional coordinates of all 4 atoms:
Be1 0.000 0.000 0.000
Mg1 0.500 0.500 0.500
Se1 0.250 0.250 0.250
Se2 0.750 0.750 0.750

***

#three
A geometry-optimized MgBeSe2 structure. Source: Alexandria via LeMat-Bulk, functional PBE.

Results
Size of the total moment: 0.000 μB per cell
V: 19.52 A^3/atom

a = 3.581 Å, b = 3.581 Å, c = 6.086 Å
α = 90.00°, β = 90.00°, γ = 90.00°
Fractional coordinates of all 4 atoms:
Be1 0.000 0.000 0.439
Mg1 0.500 0.500 0.916
Se1 0.000 0.000 0.800
Se2 0.500 0.500 0.345

***

#four
A geometry-optimized MgBeSe2 structure. Source: Alexandria via LeMat-Bulk, functional PBE.

Results
Size of the total moment: 0.000 μB per cell
V: 21.45 A^3/atom

a = 3.698 Å, b = 3.914 Å, c = 5.959 Å
α = 84.13°, β = 90.00°, γ = 90.00°
Fractional coordinates of all 4 atoms:
Be1 0.000 0.310 0.467
Mg1 0.500 0.576 0.888
Se1 0.000 0.087 0.814
Se2 0.500 0.526 0.331

***

Last place for stability: #two

***

#one
A geometry-optimized MgBeSe2 structure. Source: Alexandria via LeMat-Bulk, functional PBE.

Results
Size of the total moment: 0.000 μB per cell
V: 21.71 A^3/atom

a = 5.685 Å, b = 5.685 Å, c = 6.712 Å
α = 64.95°, β = 64.95°, γ = 90.00°
Fractional coordinates of all 8 atoms:
Be1 0.500 0.500 0.000
Be2 0.250 0.750 0.500
Mg1 0.000 0.000 0.000
Mg2 0.750 0.250 0.500
Se1 0.577 0.125 0.250
Se2 0.173 0.625 0.250
Se3 0.375 0.423 0.750
Se4 0.875 0.827 0.750

***

#two
A geometry-optimized MgBeSe2 structure. Source: Alexandria via LeMat-Bulk, functional PBE.

Results
Size of the total moment: 0.000 μB per cell
V: 21.74 A^3/atom

a = 3.890 Å, b = 6.776 Å, c = 6.973 Å
α = 81.42°, β = 90.01°, γ = 73.32°
Fractional coordinates of all 8 atoms:
Mg1 0.609 0.476 0.996
Mg2 0.849 0.994 0.721
Be1 0.360 0.973 0.243
Be2 0.102 0.490 0.475
Se1 0.184 0.324 0.212
Se2 0.925 0.843 0.398
Se3 0.649 0.396 0.643
Se4 0.408 0.876 0.949

***

Last place for stability: #one

***

#one
A geometry-optimized MgBeSe2 structure. Source: Alexandria via LeMat-Bulk, functional PBE.

Results
Size of the total moment: 0.000 μB per cell
V: 23.54 A^3/atom

a = 3.405 Å, b = 4.373 Å, c = 7.274 Å
α = 119.58°, β = 90.00°, γ = 90.00°
Fractional coordinates of all 4 atoms:
Be1 0.500 0.250 0.250
Mg1 0.500 0.750 0.750
Se1 0.000 0.218 0.018
Se2 0.000 0.282 0.482

***

#two
A geometry-optimized MgBeSe2 structure. Source: Alexandria via LeMat-Bulk, functional PBE.

Results
Size of the total moment: 0.000 μB per cell
V: 24.24 A^3/atom

a = 5.588 Å, b = 5.588 Å, c = 5.588 Å
α = 143.94°, β = 89.21°, γ = 101.85°
Fractional coordinates of all 4 atoms:
Be1 0.750 0.250 0.500
Mg1 0.250 0.750 0.500
Se1 0.971 0.971 0.000
Se2 0.529 0.529 0.000

***

Last place for stability: #two

***

#one
A geometry-optimized MgBeSe2 structure. Source: Alexandria via LeMat-Bulk, functional PBE.

Results
Size of the total moment: 0.000 μB per cell
V: 17.80 A^3/atom

a = 3.666 Å, b = 3.666 Å, c = 6.465 Å
α = 73.60°, β = 73.60°, γ = 60.12°
Fractional coordinates of all 4 atoms:
Be1 0.250 0.250 0.250
Mg1 0.750 0.750 0.750
Se1 0.991 0.991 0.030
Se2 0.509 0.509 0.470

***

#two
A geometry-optimized MgBeSe2 structure. Source: Alexandria via LeMat-Bulk, functional PBE.

Results
Size of the total moment: 0.000 μB per cell
V: 18.65 A^3/atom

a = 6.633 Å, b = 6.633 Å, c = 6.633 Å
α = 150.39°, β = 148.74°, γ = 43.60°
Fractional coordinates of all 4 atoms:
Be1 0.552 0.552 0.000
Mg1 0.296 0.796 0.500
Se1 0.962 0.962 0.000
Se2 0.690 0.190 0.500

***

Last place for stability: #two

***

#one
A geometry-optimized MgBeSe2 structure. Source: Alexandria via LeMat-Bulk, functional PBE.

Results
Size of the total moment: 0.000 μB per cell
V: 29.97 A^3/atom

a = 10.030 Å, b = 10.030 Å, c = 10.030 Å
α = 159.83°, β = 159.83°, γ = 28.67°
Fractional coordinates of all 4 atoms:
Be1 0.500 0.500 0.000
Mg1 0.750 0.250 0.500
Se1 0.000 0.000 0.000
Se2 0.250 0.750 0.500

***

#two
A geometry-optimized MgBeSe2 structure. Source: Alexandria via LeMat-Bulk, functional PBE.

Results
Size of the total moment: 0.000 μB per cell
V: 17.94 A^3/atom

a = 4.660 Å, b = 4.661 Å, c = 3.304 Å
α = 90.00°, β = 90.00°, γ = 90.02°
Fractional coordinates of all 4 atoms:
Be1 0.500 0.000 0.500
Mg1 0.000 0.500 0.500
Se1 0.000 0.000 0.000
Se2 0.500 0.500 0.000

***

Last place for stability: #two

***

#one
A geometry-optimized MgBeSe2 structure. Source: Alexandria via LeMat-Bulk, functional PBE.

Results
Size of the total moment: 0.000 μB per cell
V: 18.71 A^3/atom

a = 4.730 Å, b = 4.730 Å, c = 4.730 Å
α = 60.00°, β = 60.00°, γ = 60.00°
Fractional coordinates of all 4 atoms:
Be1 0.500 0.500 0.500
Mg1 0.750 0.750 0.750
Se1 0.000 0.000 0.000
Se2 0.250 0.250 0.250

***

#two
A geometry-optimized MgBeSe2 structure. Source: Alexandria via LeMat-Bulk, functional PBE.

Results
Size of the total moment: 0.000 μB per cell
V: 27.30 A^3/atom

a = 4.820 Å, b = 4.820 Å, c = 7.026 Å
α = 90.00°, β = 90.00°, γ = 138.01°
Fractional coordinates of all 4 atoms:
Be1 0.500 0.500 0.250
Mg1 0.500 0.500 0.750
Se1 0.000 0.000 0.027
Se2 0.000 0.000 0.473

***

Last place for stability: #one

***

#one
A geometry-optimized MgBeSe2 structure. Source: Alexandria via LeMat-Bulk, functional PBE.

Results
Size of the total moment: 0.000 μB per cell
V: 26.20 A^3/atom

a = 3.532 Å, b = 8.490 Å, c = 3.496 Å
α = 90.00°, β = 90.00°, γ = 90.00°
Fractional coordinates of all 4 atoms:
Be1 0.500 0.000 0.500
Mg1 0.000 0.500 0.500
Se1 0.000 0.000 0.000
Se2 0.500 0.500 0.000

***

#two
A geometry-optimized MgBeSe2 structure. Source: Alexandria via LeMat-Bulk, functional PBE.

Results
Size of the total moment: 0.000 μB per cell
V: 26.38 A^3/atom

a = 8.404 Å, b = 8.404 Å, c = 8.404 Å
α = 26.69°, β = 26.69°, γ = 26.69°
Fractional coordinates of all 4 atoms:
Be1 0.549 0.549 0.549
Mg1 0.724 0.724 0.724
Se1 0.019 0.019 0.019
Se2 0.207 0.207 0.207

***

Last place for stability: #one

***

#one
A geometry-optimized Mg3BeSn structure. Source: Alexandria via LeMat-Bulk, functional PBE.

Results
Size of the total moment: 0.000 μB per cell
V: 22.12 A^3/atom

a = 4.800 Å, b = 4.800 Å, c = 4.800 Å
α = 90.00°, β = 90.00°, γ = 90.00°
Fractional coordinates of all 5 atoms:
Be1 0.000 0.000 0.000
Mg1 0.000 0.500 0.000
Mg2 0.000 0.000 0.500
Mg3 0.500 0.000 0.000
Sn1 0.500 0.500 0.500

***

#two
A geometry-optimized Mg3BeSn structure. Source: Alexandria via LeMat-Bulk, functional PBE.

Results
Size of the total moment: 0.000 μB per cell
V: 30.51 A^3/atom

a = 5.344 Å, b = 5.344 Å, c = 5.344 Å
α = 90.00°, β = 90.00°, γ = 90.00°
Fractional coordinates of all 5 atoms:
Be1 0.500 0.500 0.500
Mg1 0.000 0.500 0.000
Mg2 0.000 0.000 0.500
Mg3 0.500 0.000 0.000
Sn1 0.000 0.000 0.000

***

Last place for stability: #two